Entry from Alexandria via LeMat-Bulk: an optimized crystal structure of YVAs2Se (PBE).

Cell: 4.652 4.652 5.180 Å, 90.00 90.00 90.00°
Fractional coordinates of all 5 atoms:
V: 0.000 0.000 0.000
Se: 0.000 0.000 0.500
As: 0.500 0.000 0.000
Y: 0.500 0.500 0.500
As: 0.000 0.500 0.000

Summary:
- Energy: -6.083 eV/atom
- Relative energy among the computed polymorphs: 0 meV/atom
- E_form (uncorrected): -39.5 kJ/mol of atoms
- Symmetry: No. 123
- Density of states at the Fermi level: 2.78 states/eV per cell